# NaCrRe3

A relaxed NaCrRe3 crystal (GGA-PBE, Alexandria).

DFT formation energy: 16.2 eV/f.u.
energy: -32.092 eV/cell
distance to the lowest polymorph of the same formula: 1579 meV per atom

Cell lengths 4.376, 4.376, 4.376 Å; angles 90.00, 90.00, 90.00 degrees
Space group Pm-3m (No. 221)
Symmetry-distinct sites (fractional):
Na 0.000 0.000 0.000 x1
Cr 0.500 0.500 0.500 x1
Re 0.000 0.000 0.500 x3